Entry 1:
Compound: LaTb4Pu3Se8
Source: Alexandria via LeMat-Bulk
Functional: PBE-GGA
Structure: optimized geometry

D(E_F) (states/eV/f.u.): 28.02
Magnetization (μB/f.u.): 17.705
Formation energy from raw total energies (eV per atom): -1.7301
Final energy (eV for the cell shown): -122.0

a b c (Å): 8.3135 8.3135 8.3135
angles (deg): 59.54 59.54 59.54
Element x y z (fractional)
La: 0.0000 0.0000 0.0000
Tb: 0.0000 0.0000 0.5000
Tb: 0.0000 0.5000 0.0000
Tb: 0.5000 0.0000 0.0000
Tb: 0.5000 0.5000 0.5000
Pu: 0.0000 0.5000 0.5000
Pu: 0.5000 0.0000 0.5000
Pu: 0.5000 0.5000 0.0000
Se: 0.2488 0.2488 0.2488
Se: 0.2524 0.7447 0.7447
Se: 0.2553 0.2553 0.7476
Se: 0.2553 0.7476 0.2553
Se: 0.7447 0.2524 0.7447
Se: 0.7447 0.7447 0.2524
Se: 0.7476 0.2553 0.2553
Se: 0.7512 0.7512 0.7512

Entry 2:
Compound: La3Tb2PuSe6
Source: Alexandria via LeMat-Bulk
Functional: PBE-GGA
Structure: optimized geometry

D(E_F) (states/eV/f.u.): 15.48
Magnetization (μB/f.u.): 5.955
Formation energy from raw total energies (eV per atom): -1.8556
Final energy (eV for the cell shown): -81.5

a b c (Å): 7.2739 7.2739 7.3392
angles (deg): 99.50 99.50 120.04
Element x y z (fractional)
La: 0.0000 0.0000 0.0000
La: 0.3340 0.6660 0.0000
La: 0.6660 0.3340 0.0000
Tb: 0.1670 0.8330 0.5000
Tb: 0.8330 0.1670 0.5000
Pu: 0.5000 0.5000 0.5000
Se: 0.0860 0.4216 0.2647
Se: 0.2422 0.2422 0.7339
Se: 0.4216 0.0860 0.2647
Se: 0.5784 0.9140 0.7353
Se: 0.7578 0.7578 0.2661
Se: 0.9140 0.5784 0.7353

Entry 3:
Compound: La4TbPu3Se8
Source: Alexandria via LeMat-Bulk
Functional: PBE-GGA
Structure: optimized geometry

D(E_F) (states/eV/f.u.): 28.64
Magnetization (μB/f.u.): 17.638
Formation energy from raw total energies (eV per atom): -1.8019
Final energy (eV for the cell shown): -124.0

a b c (Å): 8.4749 8.4749 8.4749
angles (deg): 59.60 59.60 59.60
Element x y z (fractional)
La: 0.0000 0.0000 0.0000
La: 0.0000 0.5000 0.5000
La: 0.5000 0.0000 0.5000
La: 0.5000 0.5000 0.0000
Tb: 0.5000 0.5000 0.5000
Pu: 0.0000 0.0000 0.5000
Pu: 0.0000 0.5000 0.0000
Pu: 0.5000 0.0000 0.0000
Se: 0.2457 0.2457 0.2457
Se: 0.2473 0.7445 0.7445
Se: 0.2555 0.2555 0.7527
Se: 0.2555 0.7527 0.2555
Se: 0.7445 0.2473 0.7445
Se: 0.7445 0.7445 0.2473
Se: 0.7527 0.2555 0.2555
Se: 0.7543 0.7543 0.7543